[1]
This record from the Alexandria database describes CaCdRe2 after structural relaxation. The functional is PBE.

Unit cell a=4.4081 b=4.4081 c=6.8443 alpha=82.87 beta=82.87 gamma=41.74
Fractional coordinates of all 4 atoms:
Re 0.0088 0.0088 0.9450
Re 0.7323 0.7323 0.8268
Ca 0.4966 0.4966 0.5269
Cd 0.2622 0.2622 0.2014

Properties
* energy of formation from the pure elements: 500 meV per atom
* DOS(E_F): 0.7190 states/eV/atom
* calculated volume: 21.94 A^3/atom


[2]
This record from the Alexandria database describes CsRe2OsC after structural relaxation. The functional is PBE.

Unit cell a=5.1241 b=4.0405 c=5.1241 alpha=90.00 beta=90.00 gamma=90.00
Each line ends with the local moment (μB).
Fractional coordinates of all 5 atoms:
Cs 0.5000 0.5000 0.5000  0.14
Re 0.0000 0.0000 0.5000  1.96
Re 0.5000 0.0000 0.0000  2.14
C 0.0000 0.5000 0.0000  0.07
Os 0.0000 0.0000 0.0000  -0.17

Properties
* energy of formation from the pure elements: 2383 meV per atom
* DOS(E_F): 1.2228 states/eV/atom
* calculated volume: 21.22 A^3/atom